(1)
Material: IrPt3Pb
Method: DFT, PBE
State: optimized geometry

Energy of formation = 1.95 eV/atom
Energy above the most stable polymorph in this dataset = 1.059 eV per atom

Cell lengths 4.978, 4.978, 4.978 Å; angles 90.00, 90.00, 90.00 degrees
Atoms (fractional coordinates):
Ir1 0.000 0.000 0.000
Pt1 0.000 0.500 0.500
Pt2 0.500 0.000 0.500
Pt3 0.500 0.500 0.000
Pb1 0.500 0.500 0.500

---

(2)
Material: Ir2RuPtPb
Method: DFT, PBE
State: optimized geometry

Energy of formation = 1.27 eV/atom

Cell lengths 4.700, 4.700, 4.992 Å; angles 90.00, 90.00, 90.00 degrees
Atoms (fractional coordinates):
Ir1 0.000 0.500 0.000
Ir2 0.500 0.000 0.000
Ru1 0.000 0.000 0.000
Pt1 0.000 0.000 0.500
Pb1 0.500 0.500 0.500

---

(3)
Material: SbIrPt2Pb
Method: DFT, PBE
State: optimized geometry

Cell lengths 4.966, 4.966, 5.107 Å; angles 90.00, 90.00, 90.00 degrees
Atoms (fractional coordinates):
Sb1 0.000 0.000 0.000
Ir1 0.500 0.500 0.500
Pt1 0.000 0.500 0.500
Pt2 0.500 0.000 0.500
Pb1 0.500 0.500 0.000

---

(4)
Material: SrIrPtPb2
Method: DFT, PBE
State: optimized geometry

Energy of formation = 1.80 eV/atom

Cell lengths 5.926, 5.926, 5.048 Å; angles 90.00, 90.00, 90.00 degrees
Atoms (fractional coordinates):
Sr1 0.000 0.000 0.000
Ir1 0.500 0.500 0.500
Pt1 0.000 0.000 0.500
Pb1 0.000 0.500 0.000
Pb2 0.500 0.000 0.000

---

| no. | total magnetization (μB per atom) | E_tot (eV/cell) | DOS at the Fermi energy (states/eV per atom) |
| --- | --- | --- | --- |
| 1 | 0.342 | -20.9 | 1.99 |
| 2 | 0.000 | -30.4 | 1.42 |
| 3 | 0.000 | -24.5 | 1.50 |
| 4 | 0.189 | -15.0 | 1.30 |